No. 1
{"formula": "Mg2CrSe", "functional": "meta-GGA SCAN", "state": "PBEsol geometry", "lattice": [[-2.9500, 0.6351, 0.8434], [-1.7287, -2.1914, 1.4237], [1.2449, 2.2750, 8.4614]], "species": ["Cr", "Mg", "Mg", "Se"], "fractional_positions": [[0.2397, 0.2397, 0.2809], [0.9885, 0.9885, 0.0345], [0.7560, 0.7560, 0.7320], [0.5158, 0.5158, 0.4527]], "e_tot_ev_per_atom": -12.165, "spacegroup": "R3m", "n_ef_per_ev_cell": 1.5, "formation_energy_uncorrected_ev_per_atom": -0.06}

***

No. 2
{"formula": "MgCrSe2", "functional": "meta-GGA SCAN", "state": "PBEsol geometry", "lattice": [[-3.1962, 1.5577, 0.5078], [-2.5768, -1.7344, 1.8033], [0.7028, 3.1134, 7.5755]], "species": ["Cr", "Mg", "Se", "Se"], "fractional_positions": [[0.5000, 0.5000, 0.5000], [0.0000, 0.0000, 0.0000], [0.8905, 0.8905, 0.3285], [0.1095, 0.1095, 0.6715]], "e_tot_ev_per_atom": -16.559, "spacegroup": "R-3m", "n_ef_per_ev_cell": 0.8, "formation_energy_uncorrected_ev_per_atom": -0.68}

***

No. 3
{"formula": "Mg2CrSi", "functional": "meta-GGA SCAN", "state": "PBEsol geometry", "lattice": [[2.6928, 0.0458, 0.0000], [-0.0500, 2.6927, 0.0000], [0.0000, 0.0000, 8.5659]], "species": ["Cr", "Mg", "Mg", "Si"], "fractional_positions": [[0.5000, 0.5000, 0.0000], [0.0000, 0.0000, 0.2410], [0.0000, 0.0000, 0.7590], [0.5000, 0.5000, 0.5000]], "e_tot_ev_per_atom": -9.141, "spacegroup": "P4/mmm", "n_ef_per_ev_cell": 2.2, "formation_energy_uncorrected_ev_per_atom": 0.45}